Compound: LaMgGaPd
Source: OQMD
Functional: GGA-PBE
Structure: relaxed

a = 4.915 Å, b = 4.915 Å, c = 4.915 Å
α = 60.00°, β = 60.00°, γ = 60.00°
Element x y z (fractional)
La: 0.000 0.000 0.000
Mg: 0.750 0.750 0.750
Ga: 0.500 0.500 0.500
Pd: 0.250 0.250 0.250

Values from the calculation:
Energy above the most stable polymorph in this dataset in meV/atom: 109
Crystal system: cubic
Uncorrected energy in eV/atom: -4.15

Compound: LaMgGaPd
Source: OQMD
Functional: GGA-PBE
Structure: relaxed

a = 4.987 Å, b = 4.987 Å, c = 4.987 Å
α = 60.00°, β = 60.00°, γ = 60.00°
Element x y z (fractional)
La: 0.000 0.000 0.000
Mg: 0.500 0.500 0.500
Ga: 0.750 0.750 0.750
Pd: 0.250 0.250 0.250

Values from the calculation:
Energy above the most stable polymorph in this dataset in meV/atom: 0
Crystal system: cubic
Uncorrected energy in eV/atom: -4.26

Compound: LaMg2GaPt
Source: OQMD
Functional: GGA-PBE
Structure: relaxed

a = 6.858 Å, b = 6.858 Å, c = 6.858 Å
α = 143.83°, β = 143.83°, γ = 52.08°
Element x y z (fractional)
La: 0.000 0.000 0.000
Mg: 0.241 0.741 0.500
Mg: 0.741 0.241 0.500
Ga: 0.392 0.392 0.000
Pt: 0.600 0.600 0.000

Values from the calculation:
Crystal system: tetragonal
Uncorrected energy in eV/atom: -4.09